# 1
{"formula": "AgSnIBr2", "functional": "GGA-PBE", "state": "relaxed", "e_form_raw_ev_per_atom": -0.4851, "spacegroup": "P2_1/m, No. 11", "cell": [[8.399, 0.000, 0.000], [0.000, 5.998, 0.000], [-3.423, 0.000, 7.887]], "species": ["Ag", "Ag", "Sn", "Sn", "I", "I", "Br", "Br", "Br", "Br"], "fractional_positions": [[0.123, 0.250, 0.436], [0.877, 0.750, 0.564], [0.183, 0.250, 0.924], [0.817, 0.750, 0.076], [0.415, 0.250, 0.736], [0.585, 0.750, 0.264], [0.107, 0.750, 0.370], [0.108, 0.750, 0.890], [0.892, 0.250, 0.110], [0.893, 0.250, 0.630]]}


# 2
{"formula": "Cs5AsAu2", "functional": "GGA-PBE", "state": "relaxed", "spacegroup": "I4/mcm, No. 140", "ef_ev_per_atom": -0.32, "cell": [[-4.617, 4.617, 8.783], [4.617, -4.617, 8.783], [4.617, 4.617, -8.783]], "species": ["Cs", "Cs", "Cs", "Cs", "Cs", "Cs", "Cs", "Cs", "Cs", "Cs", "As", "As", "Au", "Au", "Au", "Au"], "fractional_positions": [[0.000, 0.000, 0.000], [0.034, 0.534, 0.860], [0.174, 0.034, 0.500], [0.326, 0.826, 0.860], [0.466, 0.326, 0.500], [0.500, 0.500, 0.000], [0.534, 0.674, 0.500], [0.674, 0.174, 0.140], [0.826, 0.966, 0.500], [0.966, 0.466, 0.140], [0.250, 0.250, 0.000], [0.750, 0.750, 0.000], [0.112, 0.388, 0.500], [0.388, 0.888, 0.276], [0.612, 0.112, 0.724], [0.888, 0.612, 0.500]]}


# 3
{"formula": "LiEr2SnO5", "functional": "GGA-PBE", "state": "relaxed", "e_form_raw_ev_per_atom": -2.2976, "spacegroup": "P4/mbm, No. 127", "cell": [[6.475, 0.000, 0.000], [0.000, 6.475, 0.000], [0.000, 0.000, 6.100]], "species": ["Li", "Li", "Er", "Er", "Er", "Er", "Sn", "Sn", "O", "O", "O", "O", "O", "O", "O", "O", "O", "O"], "fractional_positions": [[0.000, 0.000, 0.000], [0.500, 0.500, 0.000], [0.177, 0.323, 0.500], [0.323, 0.823, 0.500], [0.677, 0.177, 0.500], [0.823, 0.677, 0.500], [0.000, 0.500, 0.000], [0.500, 0.000, 0.000], [0.000, 0.000, 0.500], [0.144, 0.644, 0.263], [0.144, 0.644, 0.737], [0.356, 0.144, 0.263], [0.356, 0.144, 0.737], [0.500, 0.500, 0.500], [0.644, 0.856, 0.263], [0.644, 0.856, 0.737], [0.856, 0.356, 0.263], [0.856, 0.356, 0.737]]}


# 4
{"formula": "Cs2VICl6", "functional": "GGA-PBE", "state": "relaxed", "e_form_raw_ev_per_atom": -1.3293, "spacegroup": "P1, No. 1", "cell": [[7.138, 0.000, 0.000], [3.477, 6.247, 0.000], [2.688, 1.578, 8.082]], "species": ["Cs", "Cs", "V", "I", "Cl", "Cl", "Cl", "Cl", "Cl", "Cl"], "fractional_positions": [[0.000, 0.000, 0.000], [0.414, 0.413, 0.471], [0.704, 0.710, 0.735], [0.990, 0.424, 0.235], [0.014, 0.572, 0.837], [0.401, 0.858, 0.617], [0.538, 0.548, 0.978], [0.556, 0.013, 0.854], [0.843, 0.400, 0.633], [0.866, 0.876, 0.492]]}


# 5
{"formula": "La2P4Pt3Rh", "functional": "GGA-PBE", "state": "relaxed", "spacegroup": "P-4m2, No. 115", "ef_ev_per_atom": -1.07, "cell": [[4.316, 0.000, 0.000], [0.000, 4.316, 0.000], [0.000, 0.000, 9.636]], "species": ["La", "La", "P", "P", "P", "P", "Pt", "Pt", "Pt", "Rh"], "fractional_positions": [[0.000, 0.500, 0.247], [0.500, 0.000, 0.753], [0.000, 0.000, 0.000], [0.000, 0.500, 0.631], [0.500, 0.000, 0.369], [0.500, 0.500, 0.000], [0.000, 0.500, 0.884], [0.500, 0.000, 0.116], [0.500, 0.500, 0.500], [0.000, 0.000, 0.500]]}